# 1
{"formula": "CsZnTe", "functional": "meta-GGA SCAN", "state": "PBEsol geometry", "raw_formation_energy_ev_per_atom": -0.739, "dft_energy_ev_per_atom": -30.2649, "volume_a3_per_atom": 42.14, "lattice_angstrom": [[5.459, 0.000, 0.000], [0.000, 5.434, 0.000], [-2.729, -2.717, 8.524]], "species": ["Cs", "Cs", "Zn", "Zn", "Te", "Te"], "frac_coords": [[0.651, 0.151, 0.302], [0.349, 0.849, 0.698], [0.279, 0.500, 0.000], [0.721, 0.500, 0.000], [0.126, 0.626, 0.253], [0.874, 0.374, 0.747]]}

# 2
{"formula": "Cs2Zr2Te", "functional": "meta-GGA SCAN", "state": "PBEsol geometry", "raw_formation_energy_ev_per_atom": 0.844, "dft_energy_ev_per_atom": -34.0097, "volume_a3_per_atom": 34.70, "lattice_angstrom": [[-4.376, 0.820, -0.407], [-0.695, -1.681, 4.083], [3.693, 8.317, 1.606]], "species": ["Zr", "Zr", "Cs", "Cs", "Te"], "frac_coords": [[0.567, 0.567, 0.133], [0.433, 0.433, 0.867], [0.250, 0.750, 0.500], [0.750, 0.250, 0.500], [0.000, 0.000, 0.000]]}

# 3
{"formula": "CsZrTe3", "functional": "meta-GGA SCAN", "state": "PBEsol geometry", "raw_formation_energy_ev_per_atom": -0.894, "dft_energy_ev_per_atom": -36.9465, "volume_a3_per_atom": 36.01, "lattice_angstrom": [[-1.189, -0.280, 5.513], [-1.119, -5.510, -0.521], [5.405, -1.202, 1.105]], "species": ["Te", "Te", "Te", "Zr", "Cs"], "frac_coords": [[0.000, 0.000, 0.500], [0.500, 0.000, 0.000], [0.000, 0.500, 0.000], [0.000, 0.000, 0.000], [0.500, 0.500, 0.500]]}

# 4
{"formula": "Cs2TiW", "functional": "meta-GGA SCAN", "state": "PBEsol geometry", "delta_e_f_mev_per_atom": 2464, "dft_energy_ev_per_atom": -37.8707, "volume_a3_per_atom": 29.75, "lattice_angstrom": [[5.521, 0.000, 0.000], [2.760, 4.781, 0.000], [2.760, 1.594, 4.508]], "species": ["Cs", "Cs", "W", "Ti"], "frac_coords": [[0.750, 0.750, 0.750], [0.250, 0.250, 0.250], [0.500, 0.500, 0.500], [0.000, 0.000, 0.000]]}

# 5
{"formula": "CsTi2W", "functional": "meta-GGA SCAN", "state": "PBEsol geometry", "delta_e_f_mev_per_atom": 1586, "dft_energy_ev_per_atom": -33.3034, "volume_a3_per_atom": 19.03, "lattice_angstrom": [[4.757, 0.000, 0.000], [2.379, 4.120, 0.000], [2.379, 1.373, 3.884]], "species": ["Cs", "Ti", "Ti", "W"], "frac_coords": [[0.000, 0.000, 0.000], [0.750, 0.750, 0.750], [0.250, 0.250, 0.250], [0.500, 0.500, 0.500]]}

# 6
{"formula": "Cs3YTi", "functional": "meta-GGA SCAN", "state": "PBEsol geometry", "delta_e_f_mev_per_atom": 1305, "dft_energy_ev_per_atom": -30.1555, "volume_a3_per_atom": 61.50, "lattice_angstrom": [[6.750, 0.000, 0.000], [0.000, 6.750, 0.000], [0.000, 0.000, 6.750]], "species": ["Cs", "Cs", "Cs", "Y", "Ti"], "frac_coords": [[0.000, 0.500, 0.000], [0.000, 0.000, 0.500], [0.500, 0.000, 0.000], [0.500, 0.500, 0.500], [0.000, 0.000, 0.000]]}